Mo2OF8 | Alexandria | PBE+U | optimized geometry; total energy = -5.3456 eV/atom
1.0
-2.036 -3.351 -3.975
-0.522 -4.806 4.329
-5.562 0.473 -0.136
Mo O F
2 1 8
Direct
0.887 0.735 0.113
0.113 0.265 0.887
0.000 0.000 0.000
0.890 0.292 0.697
0.303 0.292 0.110
0.110 0.708 0.303
0.392 0.194 0.608
0.697 0.708 0.890
0.827 0.414 0.173
0.173 0.586 0.827
0.608 0.806 0.392